A plane-wave DFT calculation with PBE was carried out for an optimized crystal structure of SnCS2N.

Calculated values
total moment	1.54	μB/cell
energy above the most stable polymorph in this dataset	7.30	eV/f.u.
ΔE_f (raw)	2.27	eV/atom
space-group type	P4/mmm (123)

Structure (POSCAR):
```
SnCS2N
1.0
5.040 0.000 0.000
0.000 5.040 0.000
0.000 0.000 4.022
S Sn C N
2 1 1 1
Cartesian
2.520 0.000 0.000 S
0.000 2.520 0.000 S
0.000 0.000 0.000 Sn
2.520 2.520 2.011 C
0.000 0.000 2.011 N
```